## ZnHgAu2 (PBE-GGA)

Data for a geometry-optimized ZnHgAu2 structure.

a b c (Å): 4.707 4.707 4.707
angles (deg): 60.00 60.00 60.00
Element x y z (fractional)
Zn 0.000 0.000 0.000
Hg 0.250 0.250 0.250
Au 0.500 0.500 0.500
Au 0.750 0.750 0.750

Calculated values
* E: -1.99 eV per atom